VASP calculation (PBE-GGA) on crystalline NaGdSiHg at its relaxed geometry.

The structure belongs to space group F-43m (No. 216); the cell edges are 7.1964, 7.1964 and 7.1964 Å and the angles 90.00°, 90.00° and 90.00°. The inequivalent atoms are Na at (0.0000, 0.0000, 0.0000), Gd at (0.0000, 0.0000, 0.5000), Si at (0.2500, 0.2500, 0.2500) and Hg at (0.2500, 0.2500, 0.7500).

The value obtained for the density of states at the Fermi level is 8.73 states/eV/cell. For the final energy, the calculation gives -5.57 eV per atom. Its density is 7.3 g cm⁻³.